(1)
Below is a relaxed Hg2CO crystal, with properties calculated at the PBE level.

Properties
energy above the most stable polymorph in this dataset = 0 meV/atom
formation energy without anion corrections = 23.4 kcal/mol of atoms
Fermi-level density of states = 0.013 states/eV per atom
SG = I-42d, No. 122
crystal system = tetragonal

a = 6.1627 Å, b = 6.1627 Å, c = 6.1627 Å
α = 127.42°, β = 127.42°, γ = 77.57°
Last column: nearest neighbours and their distance in Å.
Element x y z (fractional)
Hg 0.1059 0.6250 0.9809  2 C 2.21, 2 O 2.34
Hg 0.3750 0.3559 0.4809  2 C 2.21, 2 O 2.34
Hg 0.6441 0.1250 0.0191  2 C 2.21, 2 O 2.34
Hg 0.8750 0.8941 0.5191  2 C 2.21, 2 O 2.34
C 0.0000 0.0000 0.0000  4 Hg 2.21
C 0.7500 0.2500 0.5000  4 Hg 2.21
O 0.2500 0.7500 0.5000  4 Hg 2.34
O 0.5000 0.5000 0.0000  4 Hg 2.34



(2)
Below is a relaxed ZrTlTc crystal, with properties calculated at the PBE level.

Properties
energy above the most stable polymorph in this dataset = 230 meV/atom
Fermi-level density of states = 0.535 states/eV per atom
SG = Fmm2, No. 42
crystal system = orthorhombic
ΔH_f (0 K) = 0.228 eV per atom

a = 7.3706 Å, b = 7.1211 Å, c = 3.1096 Å
α = 82.14°, β = 73.15°, γ = 24.70°
Last column: nearest neighbours and their distance in Å.
Element x y z (fractional)
Zr 0.0000 0.0000 0.0000  2 Tc 2.61
Tl 0.6913 0.6913 0.3087  2 Tc 2.89, 4 Tl 3.11, 2 Zr 3.16
Tc 0.3586 0.3586 0.6414  2 Zr 2.61, 2 Tl 2.89



(3)
Below is a relaxed TaFeSn2 crystal, with properties calculated at the PBE level.

Properties
energy above the most stable polymorph in this dataset = 265 meV/atom
Fermi-level density of states = 1.822 states/eV per atom
SG = I-42d, No. 122
crystal system = tetragonal
ΔH_f (0 K) = 0.723 eV per atom

a = 10.0992 Å, b = 10.0992 Å, c = 10.0992 Å
α = 157.01°, β = 157.01°, γ = 32.75°
Last column: nearest neighbours and their distance in Å.
Element x y z (fractional)
Ta 0.0000 0.0000 0.0000  4 Sn 2.82, 4 Fe 2.85
Ta 0.7500 0.2500 0.5000  4 Sn 2.82, 4 Fe 2.85
Fe 0.2500 0.7500 0.5000  4 Sn 2.80, 4 Ta 2.85
Fe 0.5000 0.5000 0.0000  4 Sn 2.80, 4 Ta 2.85
Sn 0.1349 0.6250 0.0099  4 Sn 2.79-2.90, 2 Fe 2.80, 2 Ta 2.82
Sn 0.3750 0.3849 0.5099  4 Sn 2.79-2.90, 2 Fe 2.80, 2 Ta 2.82
Sn 0.6151 0.1250 0.9901  4 Sn 2.79-2.90, 2 Fe 2.80, 2 Ta 2.82
Sn 0.8750 0.8651 0.4901  4 Sn 2.79-2.90, 2 Fe 2.80, 2 Ta 2.82



(4)
Below is a relaxed AcGdScHg crystal, with properties calculated at the PBE level.

Properties
Fermi-level density of states = 1.524 states/eV per atom
SG = F-43m, No. 216
crystal system = cubic
ΔH_f (0 K) = 0.052 eV per atom

a = 5.4611 Å, b = 5.4611 Å, c = 5.4611 Å
α = 60.00°, β = 60.00°, γ = 60.00°
Last column: nearest neighbours and their distance in Å.
Element x y z (fractional)
Ac 0.0000 0.0000 0.0000  4 Gd 3.34, 4 Sc 3.34
Gd 0.7500 0.7500 0.7500  4 Hg 3.34, 4 Ac 3.34
Sc 0.2500 0.2500 0.2500  4 Hg 3.34, 4 Ac 3.34
Hg 0.5000 0.5000 0.5000  4 Gd 3.34, 4 Sc 3.34